Computed, not measured: crystalline BaCoSO at its relaxed geometry at the GGA+U level of DFT.

Lattice parameters (Å, degrees): 6.5408 7.0419 8.3513 90.00 90.00 90.00
Space group P2_12_12_1 (No. 19)
Asymmetric unit:
Ba 0.1959 0.1005 0.3548 [4 per cell]
Co 0.1233 0.5991 0.4663 [4 per cell]
S 0.0509 0.3311 0.9004 [4 per cell]
O 0.0286 0.9024 0.0971 [4 per cell]

Computed properties:
Calculated total energy (eV per atom): -5.450